This record from Alexandria via LeMat-Bulk describes a relaxed TcRuBr2 crystal. The functional is PBE-GGA.

Structure (extended XYZ):
```
4
Lattice="-1.3764 1.9743 -1.8230 -1.9801 0.6395 2.1876 5.3676 6.4794 2.9646" Properties=species:S:1:pos:R:3 pbc="T T T"
Br 0.0862 3.4369 1.1569
Br 4.9155 5.9336 2.7149
Tc 2.1604 5.9406 2.3025
Ru 2.9004 3.5011 1.6019
```

Summary:
As for the mass density: 7.33 Mg/m³. The formation energy from raw total energies comes out at 0.30 eV per atom. As for the symmetry: P4mm. For the total moment, the calculation gives 0.00 μB per cell. The electronic total energy comes out at -21.81 eV for the cell shown. The energy above the lowest structure with this stoichiometry is 154 meV/atom.

---

This record from Alexandria via LeMat-Bulk describes a relaxed TcRuBr crystal. The functional is PBE-GGA.

Structure (extended XYZ):
```
3
Lattice="-1.2977 2.5892 3.0785 -2.3428 -3.3510 -1.0707 1.4762 -1.6832 2.0380" Properties=species:S:1:pos:R:3 pbc="T T T"
Ru -1.2321 0.1371 2.2668
Br 1.4179 -1.6168 1.9575
Tc -0.8739 -2.6487 1.8593
```

Summary:
As for the mass density: 9.89 Mg/m³. The formation energy from raw total energies comes out at 0.87 eV per atom. As for the symmetry: P3m1. For the total moment, the calculation gives 0.00 μB per cell. The electronic total energy comes out at -18.71 eV for the cell shown. The energy above the lowest structure with this stoichiometry is 328 meV/atom.

---

This record from Alexandria via LeMat-Bulk describes a relaxed TcRu4Br crystal. The functional is PBE-GGA.

Structure (extended XYZ):
```
6
Lattice="0.0000 3.6317 3.6317 3.6317 0.0000 3.6317 3.6317 3.6317 0.0000" Properties=species:S:1:pos:R:3 pbc="T T T"
Ru 2.7272 2.7272 2.7272
Ru 4.5363 4.5363 2.7272
Ru 4.5363 2.7272 4.5363
Ru 2.7272 4.5363 4.5363
Tc 5.4476 5.4476 5.4476
Br 0.0000 0.0000 0.0000
```

Summary:
As for the mass density: 10.09 Mg/m³. The formation energy from raw total energies comes out at 1.10 eV per atom. As for the symmetry: F-43m. For the total moment, the calculation gives 0.02 μB per cell. The electronic total energy comes out at -42.53 eV for the cell shown.

---

This record from Alexandria via LeMat-Bulk describes a relaxed TcRu3Br crystal. The functional is PBE-GGA.

Structure (extended XYZ):
```
5
Lattice="4.5122 0.0000 0.0000 0.0000 4.5122 0.0000 0.0000 0.0000 4.5122" Properties=species:S:1:pos:R:3 pbc="T T T"
Ru 0.0000 2.2561 0.0000
Ru 2.2561 0.0000 0.0000
Ru 0.0000 0.0000 2.2561
Tc 2.2561 2.2561 2.2561
Br 0.0000 0.0000 0.0000
```

Summary:
As for the mass density: 8.70 Mg/m³. The formation energy from raw total energies comes out at 1.86 eV per atom. As for the symmetry: Pm-3m. For the total moment, the calculation gives 4.54 μB per cell. The electronic total energy comes out at -30.55 eV for the cell shown. The energy above the lowest structure with this stoichiometry is 106 meV/atom.

---

- The lowest mass density belongs to which entry?
  TcRuBr2

---

- Look up the mass density of the third one.
  10.09 Mg/m³

---

- The highest mass density belongs to which entry?
  TcRu4Br